Entry 1:
# CaV2Mo (PBE, relaxed)
data_CaV2Mo
_chemical_formula_sum 'Ca4 V8 Mo4'
_symmetry_space_group_name_H-M 'F m -3 m'
_symmetry_Int_Tables_number 225
_symmetry_space_group_name_Hall '-F 4 2 3'
_cell_length_a 6.5697
_cell_length_b 6.5697
_cell_length_c 6.5697
_cell_angle_alpha 90.00
_cell_angle_beta 90.00
_cell_angle_gamma 90.00
loop_
_atom_site_label
_atom_site_fract_x
_atom_site_fract_y
_atom_site_fract_z
_atom_site_occupancy
Ca1 0.0000 0.0000 0.0000 1
V1 0.2500 0.2500 0.2500 1
Mo1 0.0000 0.0000 0.5000 1
# Total moment, Bohr magnetons per cell: 14.8

=====

Entry 2:
# CaV2Mo (PBE, relaxed)
data_CaV2Mo
_chemical_formula_sum 'Ca4 V8 Mo4'
_symmetry_space_group_name_H-M 'I 41/a m d'
_symmetry_Int_Tables_number 141
_cell_length_a 4.6420
_cell_length_b 4.6420
_cell_length_c 17.1742
_cell_angle_alpha 90.00
_cell_angle_beta 90.00
_cell_angle_gamma 90.00
loop_
_symmetry_equiv_pos_as_xyz
'x,y,z'
'-x,-y,-z'
'-y+1/4,x+3/4,z+1/4'
'y+1/4,-x+3/4,-z+1/4'
'-x+1/2,-y,z+1/2'
'x+1/2,y,-z+1/2'
'y+1/4,-x+1/4,z+3/4'
'-y+1/4,x+1/4,-z+3/4'
'x,-y,-z'
'-x,y,z'
'-y+1/4,-x+1/4,-z+3/4'
'y+1/4,x+1/4,z+3/4'
'-x+1/2,y,-z+1/2'
'x+1/2,-y,z+1/2'
'y+1/4,x+3/4,-z+1/4'
'-y+1/4,-x+3/4,z+1/4'
'x+1/2,y+1/2,z+1/2'
'-x+1/2,-y+1/2,-z+1/2'
'-y+3/4,x+1/4,z+3/4'
'y+3/4,-x+1/4,-z+3/4'
'-x,-y+1/2,z'
'x,y+1/2,-z'
'y+3/4,-x+3/4,z+1/4'
'-y+3/4,x+3/4,-z+1/4'
'x+1/2,-y+1/2,-z+1/2'
'-x+1/2,y+1/2,z+1/2'
'-y+3/4,-x+3/4,-z+1/4'
'y+3/4,x+3/4,z+1/4'
'-x,y+1/2,-z'
'x,-y+1/2,z'
'y+3/4,x+1/4,-z+3/4'
'-y+3/4,-x+1/4,z+3/4'
loop_
_atom_site_label
_atom_site_fract_x
_atom_site_fract_y
_atom_site_fract_z
_atom_site_occupancy
Ca1 0.0000 0.2500 0.3750 1
V1 0.0000 0.0000 0.0000 1
Mo1 0.0000 0.2500 0.8750 1
# Total moment, Bohr magnetons per cell: 0.0

=====

In states/eV/atom, the Fermi-level density of states values for the records above are, in order, 1.346, 1.641.
In eV per atom, the ΔE_f values for the records above are, in order, 0.703, 1.168.
In meV per atom, the energy above the most stable polymorph in this dataset values for the records above are, in order, 0.0, 465.4.